# 1
# La2BeBiPt (SCAN, single point on PBEsol structure)
# **Calculated formation energy**: 2.7 eV/f.u.
data_La2BeBiPt
_cell_length_a 6.027
_cell_length_b 6.027
_cell_length_c 4.958
_cell_angle_alpha 90.00
_cell_angle_beta 90.00
_cell_angle_gamma 90.00
_space_group_name_H-M_alt 'P 4/m m m'
_space_group_IT_number 123
_space_group_name_Hall '-P 4 2'
loop_
_atom_site_label
_atom_site_type_symbol
_atom_site_fract_x
_atom_site_fract_y
_atom_site_fract_z
_atom_site_occupancy
La1 La 0.000 0.500 0.000 1
Be1 Be 0.000 0.000 0.500 1
Bi1 Bi 0.500 0.500 0.000 1
Pt1 Pt 0.500 0.500 0.500 1

# 2
# LiBe3Bi (SCAN, single point on PBEsol structure)
# **Calculated formation energy**: 6.8 eV/f.u.
data_LiBe3Bi
_cell_length_a 4.911
_cell_length_b 4.911
_cell_length_c 4.911
_cell_angle_alpha 90.00
_cell_angle_beta 90.00
_cell_angle_gamma 90.00
_space_group_name_H-M_alt 'P m -3 m'
_space_group_IT_number 221
_space_group_name_Hall '-P 4 2 3'
loop_
_atom_site_label
_atom_site_type_symbol
_atom_site_fract_x
_atom_site_fract_y
_atom_site_fract_z
_atom_site_occupancy
Li1 Li 0.000 0.000 0.000 1
Be1 Be 0.000 0.500 0.500 1
Bi1 Bi 0.500 0.500 0.500 1

# 3
## Li2BeBiSe (SCAN)

Data for Li2BeBiSe at its PBEsol-relaxed geometry.

Geometry as CIF:
```
data_Li2BeBiSe
_cell_length_a 4.911
_cell_length_b 4.911
_cell_length_c 4.138
_cell_angle_alpha 90.00
_cell_angle_beta 90.00
_cell_angle_gamma 90.00
_space_group_name_H-M_alt 'P 4/m m m'
_space_group_IT_number 123
_space_group_name_Hall '-P 4 2'
loop_
_atom_site_label
_atom_site_type_symbol
_atom_site_fract_x
_atom_site_fract_y
_atom_site_fract_z
_atom_site_occupancy
Li1 Li 0.000 0.500 0.000 1
Be1 Be 0.000 0.000 0.500 1
Bi1 Bi 0.500 0.500 0.500 1
Se1 Se 0.000 0.000 0.000 1
```

# 4
# Sr2LiBeBi (SCAN, single point on PBEsol structure)
# **Calculated formation energy**: 1.0 eV/f.u.
data_Sr2LiBeBi
_cell_length_a 6.405
_cell_length_b 6.405
_cell_length_c 4.692
_cell_angle_alpha 90.00
_cell_angle_beta 90.00
_cell_angle_gamma 90.00
_space_group_name_H-M_alt 'P 4/m m m'
_space_group_IT_number 123
_space_group_name_Hall '-P 4 2'
loop_
_atom_site_label
_atom_site_type_symbol
_atom_site_fract_x
_atom_site_fract_y
_atom_site_fract_z
_atom_site_occupancy
Sr1 Sr 0.000 0.500 0.000 1
Li1 Li 0.000 0.000 0.500 1
Be1 Be 0.500 0.500 0.500 1
Bi1 Bi 0.500 0.500 0.000 1

# 5
# MgBe2Bi2 (SCAN, single point on PBEsol structure)
# **Calculated formation energy**: 1.7 eV/f.u.
data_MgBe2Bi2
_cell_length_a 3.731
_cell_length_b 3.731
_cell_length_c 15.498
_cell_angle_alpha 90.00
_cell_angle_beta 90.00
_cell_angle_gamma 90.00
_space_group_name_H-M_alt 'I 4/m m m'
_space_group_IT_number 139
_space_group_name_Hall '-I 4 2'
loop_
_atom_site_label
_atom_site_type_symbol
_atom_site_fract_x
_atom_site_fract_y
_atom_site_fract_z
_atom_site_occupancy
Mg1 Mg 0.000 0.000 0.000 1
Be1 Be 0.000 0.500 0.250 1
Bi1 Bi 0.000 0.000 0.368 1

# 6
# MgBe2Bi (SCAN, single point on PBEsol structure)
# **Calculated formation energy**: 2.6 eV/f.u.
data_MgBe2Bi
_cell_length_a 6.611
_cell_length_b 6.611
_cell_length_c 6.611
_cell_angle_alpha 90.00
_cell_angle_beta 90.00
_cell_angle_gamma 90.00
_space_group_name_H-M_alt 'F m -3 m'
_space_group_IT_number 225
_space_group_name_Hall '-F 4 2 3'
loop_
_atom_site_label
_atom_site_type_symbol
_atom_site_fract_x
_atom_site_fract_y
_atom_site_fract_z
_atom_site_occupancy
Mg1 Mg 0.000 0.000 0.000 1
Be1 Be 0.250 0.250 0.250 1
Bi1 Bi 0.000 0.000 0.500 1

Computed raw total energy (Ry/atom) in order:
-3.479 -1.282 -1.605 -1.895 -2.486 -1.648